Version i
MnTeRh3: relaxed, PBE.

Lattice parameters (Å, degrees): 4.501 4.501 4.501 90.00 90.00 90.00
Atoms (fractional coordinates):
1 Te 0.500 0.500 0.500
2 Rh 0.000 0.500 0.000
3 Rh 0.000 0.000 0.500
4 Rh 0.500 0.000 0.000
5 Mn 0.000 0.000 0.000

Computed properties:
The value obtained for the density of states at the Fermi level is 6.895 states/eV/f.u. As for the crystal system: cubic.


Version ii
MnTeRh3: relaxed, PBE.

Lattice parameters (Å, degrees): 4.799 4.799 4.799 90.00 90.00 90.00
Last column: magnetic moment on the atom in μB.
Atoms (fractional coordinates):
1 Te 0.000 0.000 0.000  0.04
2 Rh 0.000 0.500 0.000  0.32
3 Rh 0.000 0.000 0.500  0.14
4 Rh 0.500 0.000 0.000  0.49
5 Mn 0.500 0.500 0.500  4.43

Computed properties:
The value obtained for the density of states at the Fermi level is 5.514 states/eV/f.u. As for the crystal system: cubic.


Most stable: version i


Version i
Ti2MnRh3: relaxed, PBE.

Lattice parameters (Å, degrees): 3.413 4.127 6.544 108.38 90.00 90.00
Last column: magnetic moment on the atom in μB.
Atoms (fractional coordinates):
1 Ti 0.000 0.339 0.678  -0.10
2 Ti 0.000 0.661 0.322  -0.10
3 Mn 0.000 0.000 0.000  3.51
4 Rh 0.500 0.500 0.000  0.22
5 Rh 0.500 0.832 0.664  0.14
6 Rh 0.500 0.168 0.336  0.14

Computed properties:
The value obtained for the density of states at the Fermi level is 3.317 states/eV/f.u. As for the crystal system: orthorhombic.


Version ii
Ti2MnRh3: relaxed, PBE.

Lattice parameters (Å, degrees): 3.144 3.144 8.973 90.00 90.00 90.00
Last column: magnetic moment on the atom in μB.
Atoms (fractional coordinates):
1 Ti 0.500 0.500 0.826  0.00
2 Ti 0.500 0.500 0.174  0.00
3 Mn 0.500 0.500 0.500  3.82
4 Rh 0.000 0.000 0.000  0.00
5 Rh 0.000 0.000 0.672  0.30
6 Rh 0.000 0.000 0.328  0.30

Computed properties:
The value obtained for the density of states at the Fermi level is 3.378 states/eV/f.u. As for the crystal system: tetragonal.


Most stable: version i


Version i
Ti3MnRh: relaxed, PBE.

Lattice parameters (Å, degrees): 6.076 6.076 6.076 90.00 90.00 90.00
Last column: magnetic moment on the atom in μB.
Atoms (fractional coordinates):
1 Ti 0.500 0.500 0.500  1.16
2 Ti 0.238 0.238 0.238  0.11
3 Ti 0.762 0.762 0.238  0.11
4 Ti 0.762 0.238 0.762  0.11
5 Ti 0.238 0.762 0.762  0.11
6 Ti 0.238 0.238 0.762  0.11
7 Ti 0.762 0.762 0.762  0.11
8 Ti 0.238 0.762 0.238  0.11
9 Ti 0.762 0.238 0.238  0.11
10 Mn 0.500 0.000 0.000  0.00
11 Mn 0.000 0.500 0.000  0.00
12 Mn 0.000 0.000 0.500  0.00
13 Rh 0.000 0.500 0.500  0.01
14 Rh 0.500 0.000 0.500  0.01
15 Rh 0.500 0.500 0.000  0.01

Computed properties:
The value obtained for the density of states at the Fermi level is 3.956 states/eV/f.u. As for the crystal system: cubic.


Version ii
Ti3MnRh: relaxed, PBE.

Lattice parameters (Å, degrees): 4.395 4.395 4.395 90.00 90.00 90.00
Atoms (fractional coordinates):
1 Mn 0.000 0.000 0.000
2 Rh 0.500 0.500 0.500
3 Ti 0.000 0.500 0.000
4 Ti 0.000 0.000 0.500
5 Ti 0.500 0.000 0.000

Computed properties:
The value obtained for the density of states at the Fermi level is 8.087 states/eV/f.u. As for the crystal system: cubic.


Most stable: version i


Version i
Ti2Mn2Rh: relaxed, PBE.

Lattice parameters (Å, degrees): 6.746 6.746 3.038 90.00 90.00 90.00
Atoms (fractional coordinates):
1 Mn 0.394 0.894 0.000
2 Mn 0.894 0.606 0.000
3 Mn 0.606 0.106 0.000
4 Mn 0.106 0.394 0.000
5 Rh 0.000 0.000 0.000
6 Rh 0.500 0.500 0.000
7 Ti 0.194 0.694 0.500
8 Ti 0.694 0.806 0.500
9 Ti 0.806 0.306 0.500
10 Ti 0.306 0.194 0.500

Computed properties:
The value obtained for the density of states at the Fermi level is 6.039 states/eV/f.u. As for the crystal system: tetragonal.


Version ii
Ti2Mn2Rh: relaxed, PBE.

Lattice parameters (Å, degrees): 3.742 3.742 5.997 71.82 71.82 90.00
Last column: magnetic moment on the atom in μB.
Atoms (fractional coordinates):
1 Mn 0.404 0.404 0.192  1.79
2 Mn 0.596 0.596 0.808  1.79
3 Rh 0.000 0.000 0.000  0.34
4 Ti 0.750 0.250 0.500  -0.23
5 Ti 0.250 0.750 0.500  -0.23

Computed properties:
The value obtained for the density of states at the Fermi level is 4.815 states/eV/f.u. As for the crystal system: tetragonal.


Most stable: version i


Version i
MnTlRh: relaxed, PBE.

Lattice parameters (Å, degrees): 4.431 4.431 4.431 60.00 60.00 60.00
Last column: magnetic moment on the atom in μB.
Atoms (fractional coordinates):
1 Mn 0.500 0.500 0.500  3.94
2 Rh 0.750 0.750 0.750  0.17
3 Tl 0.000 0.000 0.000  -0.02

Computed properties:
The value obtained for the density of states at the Fermi level is 1.770 states/eV/f.u. As for the crystal system: cubic.


Version ii
MnTlRh: relaxed, PBE.

Lattice parameters (Å, degrees): 4.443 4.443 3.045 90.00 90.00 120.00
Last column: magnetic moment on the atom in μB.
Atoms (fractional coordinates):
1 Mn 0.000 0.000 0.052  3.69
2 Rh 0.667 0.333 0.278  0.40
3 Tl 0.333 0.667 0.670  -0.03

Computed properties:
The value obtained for the density of states at the Fermi level is 1.405 states/eV/f.u. As for the crystal system: trigonal.


Version iii
MnTlRh: relaxed, PBE.

Lattice parameters (Å, degrees): 5.125 5.125 5.125 141.45 141.45 55.66
Last column: magnetic moment on the atom in μB.
Atoms (fractional coordinates):
1 Mn 0.985 0.985 0.000  3.80
2 Rh 0.348 0.348 0.000  0.48
3 Tl 0.667 0.667 0.000  -0.03

Computed properties:
The value obtained for the density of states at the Fermi level is 2.537 states/eV/f.u. As for the crystal system: tetragonal.


Most stable: version iii


Version i
Mn2TlRh2: relaxed, PBE.

Lattice parameters (Å, degrees): 7.417 7.417 3.009 90.00 90.00 90.00
Last column: magnetic moment on the atom in μB.
Atoms (fractional coordinates):
1 Tl 0.000 0.000 0.000  0.00
2 Tl 0.500 0.500 0.000  0.00
3 Mn 0.152 0.652 0.500  3.73
4 Mn 0.652 0.848 0.500  3.71
5 Mn 0.848 0.348 0.500  3.73
6 Mn 0.348 0.152 0.500  3.71
7 Rh 0.359 0.859 0.000  0.28
8 Rh 0.859 0.641 0.000  0.27
9 Rh 0.641 0.141 0.000  0.28
10 Rh 0.141 0.359 0.000  0.27

Computed properties:
The value obtained for the density of states at the Fermi level is 3.792 states/eV/f.u. As for the crystal system: tetragonal.


Version ii
Mn2TlRh2: relaxed, PBE.

Lattice parameters (Å, degrees): 3.337 3.337 7.238 76.67 76.67 90.00
Atoms (fractional coordinates):
1 Tl 0.000 0.000 0.000
2 Mn 0.750 0.250 0.500
3 Mn 0.250 0.750 0.500
4 Rh 0.388 0.388 0.223
5 Rh 0.612 0.612 0.777

Computed properties:
The value obtained for the density of states at the Fermi level is 5.783 states/eV/f.u. As for the crystal system: tetragonal.


Most stable: version i


Version i
UMnRh: relaxed, PBE.

Lattice parameters (Å, degrees): 5.775 5.775 6.108 61.78 61.78 60.00
Last column: magnetic moment on the atom in μB.
Atoms (fractional coordinates):
1 U 0.216 0.216 0.351  -0.04
2 U 0.405 0.405 0.784  -0.30
3 U 0.594 0.594 0.217  -0.04
4 Rh 0.856 0.405 0.784  0.03
5 Rh 0.955 0.856 0.784  0.03
6 Rh 0.405 0.955 0.784  0.03
7 Mn 0.659 0.905 0.284  0.05
8 Mn 0.905 0.152 0.284  0.05
9 Mn 0.152 0.659 0.284  0.05

Computed properties:
The value obtained for the density of states at the Fermi level is 3.037 states/eV/f.u. As for the crystal system: trigonal.


Version ii
UMnRh: relaxed, PBE.

Lattice parameters (Å, degrees): 3.686 3.686 4.631 113.45 113.45 90.00
Last column: magnetic moment on the atom in μB.
Atoms (fractional coordinates):
1 U 0.637 0.637 0.274  -1.01
2 Mn 0.917 0.917 0.833  1.24
3 Rh 0.296 0.296 0.593  0.17

Computed properties:
The value obtained for the density of states at the Fermi level is 3.558 states/eV/f.u. As for the crystal system: tetragonal.


Most stable: version ii


Version i
Mn2VRh: relaxed, PBE.

Lattice parameters (Å, degrees): 3.062 4.187 4.187 90.00 90.00 90.00
Last column: magnetic moment on the atom in μB.
Atoms (fractional coordinates):
1 Mn 0.000 0.000 0.500  2.89
2 Mn 0.000 0.500 0.000  2.89
3 Rh 0.500 0.000 0.000  0.42
4 V 0.500 0.500 0.500  -1.86

Computed properties:
The value obtained for the density of states at the Fermi level is 2.217 states/eV/f.u. As for the crystal system: tetragonal.


Version ii
Mn2VRh: relaxed, PBE.

Lattice parameters (Å, degrees): 2.993 2.993 5.930 90.00 90.00 90.00
Last column: magnetic moment on the atom in μB.
Atoms (fractional coordinates):
1 Mn 0.000 0.000 0.763  2.75
2 Mn 0.000 0.000 0.237  2.75
3 Rh 0.500 0.500 0.500  0.49
4 V 0.500 0.500 0.000  -1.55

Computed properties:
The value obtained for the density of states at the Fermi level is 3.940 states/eV/f.u. As for the crystal system: tetragonal.


Most stable: version i


Version i
Mn2VRh: relaxed, PBE.

Lattice parameters (Å, degrees): 3.506 3.506 9.112 78.91 78.91 90.00
Last column: magnetic moment on the atom in μB.
Atoms (fractional coordinates):
1 Mn 0.564 0.125 0.250  0.11
2 Mn 0.186 0.625 0.250  0.11
3 Mn 0.375 0.436 0.750  0.11
4 Mn 0.875 0.814 0.750  0.11
5 Rh 0.000 0.000 0.000  0.00
6 Rh 0.750 0.250 0.500  0.00
7 V 0.500 0.500 0.000  0.12
8 V 0.250 0.750 0.500  0.12

Computed properties:
The value obtained for the density of states at the Fermi level is 6.825 states/eV/f.u. As for the crystal system: tetragonal.


Version ii
Mn2VRh: relaxed, PBE.

Lattice parameters (Å, degrees): 4.239 4.239 4.239 60.00 60.00 60.00
Last column: magnetic moment on the atom in μB.
Atoms (fractional coordinates):
1 Mn 0.250 0.250 0.250  2.91
2 Mn 0.750 0.750 0.750  2.91
3 Rh 0.500 0.500 0.500  0.44
4 V 0.000 0.000 0.000  -1.91

Computed properties:
The value obtained for the density of states at the Fermi level is 1.802 states/eV/f.u. As for the crystal system: cubic.


Most stable: version ii


Version i
MnVRh: relaxed, PBE.

Lattice parameters (Å, degrees): 3.012 3.012 4.967 107.65 107.65 90.00
Last column: magnetic moment on the atom in μB.
Atoms (fractional coordinates):
1 Mn 0.293 0.293 0.586  3.00
2 Rh 0.612 0.612 0.224  0.50
3 V 0.945 0.945 0.890  -0.66

Computed properties:
The value obtained for the density of states at the Fermi level is 2.480 states/eV/f.u. As for the crystal system: tetragonal.


Version ii
MnVRh: relaxed, PBE.

Lattice parameters (Å, degrees): 4.406 2.707 7.016 90.00 90.00 90.00
Last column: magnetic moment on the atom in μB.
Atoms (fractional coordinates):
1 V 0.500 0.000 0.751  -0.52
2 V 0.000 0.500 0.249  -0.52
3 Mn 0.000 0.000 0.547  2.55
4 Mn 0.500 0.500 0.453  2.55
5 Rh 0.500 0.500 0.079  0.14
6 Rh 0.000 0.000 0.921  0.14

Computed properties:
The value obtained for the density of states at the Fermi level is 2.840 states/eV/f.u. As for the crystal system: orthorhombic.


Most stable: version i


Version i
MnVRh4: relaxed, PBE.

Lattice parameters (Å, degrees): 4.043 4.044 5.719 89.99 89.99 90.00
Last column: magnetic moment on the atom in μB.
Atoms (fractional coordinates):
1 Mn 0.501 0.497 0.998  2.50
2 V 0.001 0.997 0.498  -0.12
3 Rh 0.501 0.997 0.249  -0.05
4 Rh 0.501 0.997 0.747  -0.05
5 Rh 0.001 0.497 0.747  -0.05
6 Rh 0.001 0.497 0.249  -0.05

Computed properties:
The value obtained for the density of states at the Fermi level is 4.689 states/eV/f.u. As for the crystal system: tetragonal.


Version ii
MnVRh4: relaxed, PBE.

Lattice parameters (Å, degrees): 2.764 5.124 7.003 111.36 101.42 105.60
Last column: magnetic moment on the atom in μB.
Atoms (fractional coordinates):
1 Mn 0.209 0.772 0.396  3.31
2 V 0.277 0.210 0.096  -0.32
3 Rh 0.649 0.256 0.792  0.02
4 Rh 0.531 0.746 0.066  0.03
5 Rh 0.974 0.265 0.433  0.12
6 Rh 0.860 0.751 0.717  -0.03

Computed properties:
The value obtained for the density of states at the Fermi level is 5.866 states/eV/f.u. As for the crystal system: monoclinic.


Most stable: version ii


Version i
MnV2Rh4: relaxed, PBE.

Lattice parameters (Å, degrees): 3.885 5.183 5.183 102.19 90.00 90.00
Last column: magnetic moment on the atom in μB.
Atoms (fractional coordinates):
1 Mn 0.500 0.500 0.500  2.85
2 V 0.000 0.737 0.263  -0.41
3 V 0.000 0.263 0.737  -0.41
4 Rh 0.000 0.783 0.783  0.10
5 Rh 0.000 0.217 0.217  0.10
6 Rh 0.500 0.000 0.500  0.20
7 Rh 0.500 0.500 0.000  0.20

Computed properties:
The value obtained for the density of states at the Fermi level is 7.159 states/eV/f.u. As for the crystal system: orthorhombic.


Version ii
MnV2Rh4: relaxed, PBE.

Lattice parameters (Å, degrees): 6.098 5.357 7.141 111.65 105.39 103.92
Last column: magnetic moment on the atom in μB.
Atoms (fractional coordinates):
1 Mn 0.162 0.856 0.457  2.65
2 Mn 0.881 0.082 0.030  3.13
3 V 0.573 0.326 0.627  -0.27
4 V 0.722 0.943 0.311  -0.51
5 V 0.731 0.462 0.323  -0.60
6 V 0.036 0.231 0.754  -0.54
7 Rh 0.145 0.350 0.456  0.03
8 Rh 0.305 0.513 0.179  -0.02
9 Rh 0.002 0.703 0.729  0.03
10 Rh 0.604 0.835 0.609  -0.01
11 Rh 0.326 0.031 0.206  -0.04
12 Rh 0.438 0.161 0.886  0.10
13 Rh 0.446 0.667 0.893  0.08
14 Rh 0.877 0.589 0.040  0.06

Computed properties:
The value obtained for the density of states at the Fermi level is 7.151 states/eV/f.u. As for the crystal system: triclinic.


Most stable: version ii